No. 1
PBE NpPa2Ga9, optimized geometry; electronic total energy = -5.25 eV/atom; calculated volume = 19.7 Å³/atom; SG = P4/mmm (123); formation enthalpy at 0 K = -0.32 eV per atom; mass density = 9.30 g cm⁻³
1.0
4.2929 0.0000 0.0000
0.0000 4.2929 0.0000
0.0000 0.0000 12.8545
Np Pa Ga
1 2 9
Direct
0.0000 0.0000 0.0000
0.0000 0.0000 0.3325
0.0000 0.0000 0.6675
0.0000 0.5000 0.1640
0.0000 0.5000 0.5000
0.0000 0.5000 0.8360
0.5000 0.0000 0.1640
0.5000 0.0000 0.5000
0.5000 0.0000 0.8360
0.5000 0.5000 0.0000
0.5000 0.5000 0.3332
0.5000 0.5000 0.6668

No. 2
PBE NpPa2Ga, optimized geometry; electronic total energy = -8.56 eV/atom; calculated volume = 22.1 Å³/atom; SG = R-3m (166); formation enthalpy at 0 K = 0.18 eV per atom; energy above the most stable polymorph in this dataset = 219 meV per atom; mass density = 14.41 g cm⁻³
1.0
3.6043 0.0000 0.0000
-1.8021 3.1214 0.0000
0.0000 0.0000 23.6238
Np Pa Ga
3 6 3
Direct
0.0000 0.0000 0.0000
0.3333 0.6667 0.6667
0.6667 0.3333 0.3333
0.0000 0.0000 0.2628
0.0000 0.0000 0.7372
0.3333 0.6667 0.4038
0.3333 0.6667 0.9295
0.6667 0.3333 0.0705
0.6667 0.3333 0.5962
0.0000 0.0000 0.5000
0.3333 0.6667 0.1667
0.6667 0.3333 0.8333

No. 3
PBE NpPa2Ga, optimized geometry; electronic total energy = -8.68 eV/atom; calculated volume = 22.0 Å³/atom; SG = P4/mmm (123); formation enthalpy at 0 K = 0.06 eV per atom; energy above the most stable polymorph in this dataset = 99 meV per atom; mass density = 14.51 g cm⁻³
1.0
3.6929 0.0000 0.0000
0.0000 3.6929 0.0000
0.0000 0.0000 6.4512
Np Pa Ga
1 2 1
Direct
0.0000 0.0000 0.0000
0.5000 0.5000 0.2445
0.5000 0.5000 0.7555
0.0000 0.0000 0.5000